(1)
Entry from Alexandria: an optimized crystal structure of Ag2HgSb (PBE).

```
Ag2HgSb
1.0
4.480 0.000 0.000
0.000 4.471 0.000
0.000 0.000 4.278
Sb Hg Ag
1 1 2
direct
0.000 0.500 0.500 Sb
0.500 0.000 0.500 Hg
0.000 0.000 0.000 Ag
0.500 0.500 0.000 Ag
```

Calculated values
Calculated volume ... 21.422 Å³/atom
Raw total energy ... -9.657 eV for the cell shown
Uncorrected formation energy ... 0.117 eV per atom
Total magnetic moment ... 0.000 μB per atom
Symmetry ... P4/mmm

(2)
Entry from Alexandria: an optimized crystal structure of AgHg2Sb (PBE).

```
AgHg2Sb
1.0
5.592 0.044 0.000
1.918 5.253 0.000
-3.755 -2.649 3.187
Sb Hg Ag
1 2 1
direct
0.250 0.750 0.500 Sb
0.000 0.000 0.000 Hg
0.500 0.500 0.000 Hg
0.750 0.250 0.500 Ag
```

Calculated values
Calculated volume ... 23.340 Å³/atom
Raw total energy ... -6.822 eV for the cell shown
Uncorrected formation energy ... 0.189 eV per atom
Total magnetic moment ... 0.000 μB per atom
Symmetry ... I4/mmm

(3)
Entry from Alexandria: an optimized crystal structure of AgHgSb2 (PBE).

```
AgHgSb2
1.0
-0.615 -0.489 -3.109
3.798 -1.941 -0.447
-3.405 -7.073 1.786
Sb Hg Ag
2 1 1
direct
0.000 0.000 0.066 Sb
0.000 0.000 0.434 Sb
0.500 0.500 0.750 Hg
0.500 0.500 0.250 Ag
```

Calculated values
Calculated volume ... 27.673 Å³/atom
Raw total energy ... -10.793 eV for the cell shown
Uncorrected formation energy ... 0.151 eV per atom
Total magnetic moment ... 0.000 μB per atom
Symmetry ... Pmmm

(4)
Entry from Alexandria: an optimized crystal structure of AgHgSb2 (PBE).

```
AgHgSb2
1.0
-0.775 3.712 2.085
1.359 -1.793 3.697
5.431 1.772 -1.137
Sb Hg Ag
2 1 1
direct
0.000 0.000 0.125 Sb
0.500 0.500 0.125 Sb
0.500 0.500 0.625 Hg
0.000 0.000 0.625 Ag
```

Calculated values
Calculated volume ... 27.272 Å³/atom
Raw total energy ... -10.848 eV for the cell shown
Uncorrected formation energy ... 0.137 eV per atom
Total magnetic moment ... 0.000 μB per atom
Symmetry ... P4/mmm

(5)
Entry from Alexandria: an optimized crystal structure of AgHgSbSe2 (PBE).

```
AgHgSbSe2
1.0
-0.671 -5.665 1.332
3.220 0.853 5.246
-7.043 1.956 4.770
Ag Hg Sb Se
2 2 2 4
direct
0.250 0.419 0.122 Ag
0.750 0.581 0.878 Ag
0.250 0.963 0.092 Hg
0.750 0.037 0.908 Hg
0.250 0.324 0.628 Sb
0.750 0.676 0.372 Sb
0.750 0.387 0.609 Se
0.250 0.613 0.391 Se
0.750 0.401 0.166 Se
0.250 0.599 0.834 Se
```

Calculated values
Calculated volume ... 31.687 Å³/atom
Raw total energy ... -29.310 eV for the cell shown
Uncorrected formation energy ... -0.082 eV per atom
Total magnetic moment ... 0.000 μB per atom
Symmetry ... P2_1/m

(6)
Entry from Alexandria: an optimized crystal structure of AgHgSb2Se (PBE).

```
AgHgSb2Se
1.0
5.465 0.000 0.000
0.000 5.046 0.000
0.000 0.000 5.465
Sb Se Hg Ag
2 1 1 1
direct
0.000 0.000 0.500 Sb
0.500 0.000 0.000 Sb
0.000 0.500 0.000 Se
0.500 0.500 0.500 Hg
0.000 0.000 0.000 Ag
```

Calculated values
Calculated volume ... 30.145 Å³/atom
Raw total energy ... -11.967 eV for the cell shown
Uncorrected formation energy ... 0.583 eV per atom
Total magnetic moment ... 0.000 μB per atom
Symmetry ... P4/mmm